Record 1
DFT (PBE) results for an optimized crystal structure of Na2TlIn4Pb2.

Volume = 29.86 Å³/atom
SG = I4/mmm, No. 139

```
data_Na2TlIn4Pb2
_symmetry_space_group_name_H-M 'P 1'
_symmetry_Int_Tables_number 1
_symmetry_space_group_name_Hall 'P 1'
_cell_length_a 7.2627
_cell_length_b 7.2627
_cell_length_c 7.2627
_cell_angle_alpha 120.52
_cell_angle_beta 120.52
_cell_angle_gamma 89.10
loop_
_atom_site_label
_atom_site_fract_x
_atom_site_fract_y
_atom_site_fract_z
Na1 0.2219 0.2219 0.0000
Na2 0.7781 0.7781 0.0000
Tl1 0.5000 0.5000 0.0000
In1 0.2153 0.2153 0.4307
In2 0.2153 0.7847 0.0000
In3 0.7847 0.2153 0.0000
In4 0.7847 0.7847 0.5693
Pb1 0.2500 0.7500 0.5000
Pb2 0.7500 0.2500 0.5000
```


Record 2
DFT (PBE) results for an optimized crystal structure of NaTl6InPb2.

Volume = 31.29 Å³/atom
SG = R3, No. 146

```
data_NaTl6InPb2
_symmetry_space_group_name_H-M 'P 1'
_symmetry_Int_Tables_number 1
_symmetry_space_group_name_Hall 'P 1'
_cell_length_a 6.7944
_cell_length_b 6.7944
_cell_length_c 6.7944
_cell_angle_alpha 87.60
_cell_angle_beta 87.60
_cell_angle_gamma 87.60
loop_
_atom_site_label
_atom_site_fract_x
_atom_site_fract_y
_atom_site_fract_z
Na1 0.0000 0.0000 0.0000
Tl1 0.0998 0.7511 0.4014
Tl2 0.2522 0.6009 0.9024
Tl3 0.4014 0.0998 0.7511
Tl4 0.6009 0.9024 0.2522
Tl5 0.7511 0.4014 0.0998
Tl6 0.9024 0.2522 0.6009
In1 0.5001 0.5001 0.5001
Pb1 0.2537 0.2537 0.2537
Pb2 0.7466 0.7466 0.7466
```


Record 3
DFT (PBE) results for an optimized crystal structure of NaTmInPb.

Volume = 26.43 Å³/atom
SG = Pmmm, No. 47

```
data_NaTmInPb
_symmetry_space_group_name_H-M 'P 1'
_symmetry_Int_Tables_number 1
_symmetry_space_group_name_Hall 'P 1'
_cell_length_a 4.2532
_cell_length_b 4.9076
_cell_length_c 5.0654
_cell_angle_alpha 90.00
_cell_angle_beta 90.00
_cell_angle_gamma 90.00
loop_
_atom_site_label
_atom_site_fract_x
_atom_site_fract_y
_atom_site_fract_z
Na1 0.0000 0.0000 0.0000
Tm1 0.0000 0.5000 0.5000
In1 0.5000 0.5000 0.0000
Pb1 0.5000 0.0000 0.5000
```


Record 4
DFT (PBE) results for an optimized crystal structure of NaTmInPb.

Volume = 26.98 Å³/atom
SG = F-43m, No. 216

```
data_NaTmInPb
_symmetry_space_group_name_H-M 'P 1'
_symmetry_Int_Tables_number 1
_symmetry_space_group_name_Hall 'P 1'
_cell_length_a 5.3440
_cell_length_b 5.3440
_cell_length_c 5.3440
_cell_angle_alpha 60.00
_cell_angle_beta 60.00
_cell_angle_gamma 60.00
loop_
_atom_site_label
_atom_site_fract_x
_atom_site_fract_y
_atom_site_fract_z
Na1 0.0000 0.0000 0.0000
Tm1 0.5000 0.5000 0.5000
In1 0.7500 0.7500 0.7500
Pb1 0.2500 0.2500 0.2500
```


Record 5
DFT (PBE) results for an optimized crystal structure of NaV2InPb.

Volume = 28.45 Å³/atom
SG = P4/mmm, No. 123

```
data_NaV2InPb
_symmetry_space_group_name_H-M 'P 1'
_symmetry_Int_Tables_number 1
_symmetry_space_group_name_Hall 'P 1'
_cell_length_a 5.1778
_cell_length_b 5.1778
_cell_length_c 5.3059
_cell_angle_alpha 90.00
_cell_angle_beta 90.00
_cell_angle_gamma 90.00
loop_
_atom_site_label
_atom_site_fract_x
_atom_site_fract_y
_atom_site_fract_z
Na1 0.0000 0.0000 0.0000
V1 0.0000 0.5000 0.5000
V2 0.5000 0.0000 0.5000
In1 0.0000 0.0000 0.5000
Pb1 0.5000 0.5000 0.0000
```


Record 6
DFT (PBE) results for an optimized crystal structure of Na2YInPb2.

Volume = 28.95 Å³/atom
SG = Pmc2_1, No. 26

```
data_Na2YInPb2
_symmetry_space_group_name_H-M 'P 1'
_symmetry_Int_Tables_number 1
_symmetry_space_group_name_Hall 'P 1'
_cell_length_a 4.7308
_cell_length_b 9.6472
_cell_length_c 7.6115
_cell_angle_alpha 90.00
_cell_angle_beta 90.00
_cell_angle_gamma 90.00
loop_
_atom_site_label
_atom_site_fract_x
_atom_site_fract_y
_atom_site_fract_z
Na1 0.0000 0.0547 0.0000
Na2 0.0000 0.9453 0.5000
Na3 0.5000 0.1709 0.2939
Na4 0.5000 0.8291 0.7939
Y1 0.5000 0.4561 0.9152
Y2 0.5000 0.5439 0.4152
In1 0.0000 0.3234 0.5940
In2 0.0000 0.6766 0.0940
Pb1 0.0000 0.3709 0.1888
Pb2 0.0000 0.6291 0.6888
Pb3 0.5000 0.1602 0.7264
Pb4 0.5000 0.8398 0.2264
```


Record 7
DFT (PBE) results for an optimized crystal structure of NaZnInPb.

Volume = 24.37 Å³/atom
SG = F-43m, No. 216

```
data_NaZnInPb
_symmetry_space_group_name_H-M 'P 1'
_symmetry_Int_Tables_number 1
_symmetry_space_group_name_Hall 'P 1'
_cell_length_a 5.1661
_cell_length_b 5.1661
_cell_length_c 5.1661
_cell_angle_alpha 60.00
_cell_angle_beta 60.00
_cell_angle_gamma 60.00
loop_
_atom_site_label
_atom_site_fract_x
_atom_site_fract_y
_atom_site_fract_z
Na1 0.0000 0.0000 0.0000
Zn1 0.5000 0.5000 0.5000
In1 0.7500 0.7500 0.7500
Pb1 0.2500 0.2500 0.2500
```


Record 8
DFT (PBE) results for an optimized crystal structure of NaZnInPb2.

Volume = 35.56 Å³/atom
SG = P4/mmm, No. 123

```
data_NaZnInPb2
_symmetry_space_group_name_H-M 'P 1'
_symmetry_Int_Tables_number 1
_symmetry_space_group_name_Hall 'P 1'
_cell_length_a 5.8933
_cell_length_b 5.8933
_cell_length_c 5.1193
_cell_angle_alpha 90.00
_cell_angle_beta 90.00
_cell_angle_gamma 90.00
loop_
_atom_site_label
_atom_site_fract_x
_atom_site_fract_y
_atom_site_fract_z
Na1 0.0000 0.0000 0.0000
Zn1 0.5000 0.5000 0.0000
In1 0.5000 0.5000 0.5000
Pb1 0.0000 0.5000 0.5000
Pb2 0.5000 0.0000 0.5000
```


Record 9
DFT (PBE) results for an optimized crystal structure of NaZrInPb2.

Volume = 29.44 Å³/atom
SG = P4/mmm, No. 123

```
data_NaZrInPb2
_symmetry_space_group_name_H-M 'P 1'
_symmetry_Int_Tables_number 1
_symmetry_space_group_name_Hall 'P 1'
_cell_length_a 5.3155
_cell_length_b 5.3155
_cell_length_c 5.2095
_cell_angle_alpha 90.00
_cell_angle_beta 90.00
_cell_angle_gamma 90.00
loop_
_atom_site_label
_atom_site_fract_x
_atom_site_fract_y
_atom_site_fract_z
Na1 0.0000 0.0000 0.0000
Zr1 0.5000 0.5000 0.5000
In1 0.0000 0.0000 0.5000
Pb1 0.0000 0.5000 0.0000
Pb2 0.5000 0.0000 0.0000
```


Record 10
DFT (PBE) results for an optimized crystal structure of NaIn3Pd4.

Volume = 17.92 Å³/atom
SG = I4/mmm, No. 139

```
data_NaIn3Pd4
_symmetry_space_group_name_H-M 'P 1'
_symmetry_Int_Tables_number 1
_symmetry_space_group_name_Hall 'P 1'
_cell_length_a 7.3994
_cell_length_b 7.3994
_cell_length_c 7.3994
_cell_angle_alpha 143.37
_cell_angle_beta 143.37
_cell_angle_gamma 52.77
loop_
_atom_site_label
_atom_site_fract_x
_atom_site_fract_y
_atom_site_fract_z
Na1 0.0000 0.0000 0.0000
In1 0.2483 0.2483 0.0000
In2 0.5000 0.5000 0.0000
In3 0.7517 0.7517 0.0000
Pd1 0.1306 0.6306 0.5000
Pd2 0.3694 0.8694 0.5000
Pd3 0.6306 0.1306 0.5000
Pd4 0.8694 0.3694 0.5000
```


Record 11
DFT (PBE) results for an optimized crystal structure of Na2InPd2.

Volume = 22.67 Å³/atom
SG = P-3m1, No. 164

```
data_Na2InPd2
_symmetry_space_group_name_H-M 'P 1'
_symmetry_Int_Tables_number 1
_symmetry_space_group_name_Hall 'P 1'
_cell_length_a 4.6322
_cell_length_b 4.6322
_cell_length_c 6.0989
_cell_angle_alpha 90.00
_cell_angle_beta 90.00
_cell_angle_gamma 120.00
loop_
_atom_site_label
_atom_site_fract_x
_atom_site_fract_y
_atom_site_fract_z
Na1 0.3333 0.6667 0.1319
Na2 0.6667 0.3333 0.8681
In1 0.0000 0.0000 0.5000
Pd1 0.3333 0.6667 0.5967
Pd2 0.6667 0.3333 0.4033
```


These records have DFT total energy values of -2.526, -2.540, -3.321, -3.282, -4.059, -3.483, -2.243, -2.223, -3.210, -4.234, -3.441 eV/atom, in the order they appear.